# 1
Crystalline Co7Ge at its relaxed geometry. Source: the Open Quantum Materials Database, functional PBE-GGA.

Volume (Å³ per cell): 253.0
Calculated total energy (eV/atom): -6.7293
Relative energy among the computed polymorphs (eV per atom): 0.007

Cell and atoms, written as extended XYZ:
```
16
Lattice="2.5320 0.0000 0.0000 0.0000 2.5320 0.0000 0.0000 0.0000 39.4581" Properties=species:S:1:pos:R:3 pbc="T T T"
Co 0.6330 0.6330 0.8501
Co 0.6330 0.6330 4.2621
Co 0.6330 0.6330 7.6910
Co 0.6330 0.6330 11.1079
Co 0.6330 0.6330 30.0194
Co 0.6330 0.6330 33.4756
Co 0.6330 0.6330 36.9001
Co 1.8990 1.8990 2.5580
Co 1.8990 1.8990 5.9825
Co 1.8990 1.8990 9.4387
Co 1.8990 1.8990 28.3503
Co 1.8990 1.8990 31.7671
Co 1.8990 1.8990 35.1960
Co 1.8990 1.8990 38.6080
Ge 0.6330 0.6330 26.4146
Ge 1.8990 1.8990 13.0435
```

# 2
Crystalline Co3Ge at its relaxed geometry. Source: the Open Quantum Materials Database, functional PBE-GGA.

Volume (Å³ per cell): 90.7
Calculated total energy (eV/atom): -6.5513

Cell and atoms, written as extended XYZ:
```
8
Lattice="5.0723 0.0000 0.0000 -2.5362 4.3928 0.0000 0.0000 0.0000 4.0693" Properties=species:S:1:pos:R:3 pbc="T T T"
Co 0.0000 1.4582 1.0173
Co -1.2733 3.6637 1.0173
Co 1.2629 0.7291 3.0519
Co 1.2733 3.6637 1.0173
Co 3.8095 0.7291 3.0519
Co 2.5362 2.9346 3.0519
Ge 0.0000 2.9285 3.0519
Ge 2.5362 1.4643 1.0173
```

# 3
Crystalline Co5Ge3 at its relaxed geometry. Source: the Open Quantum Materials Database, functional PBE-GGA.

Volume (Å³ per cell): 194.5
Calculated total energy (eV/atom): -6.3362

Cell and atoms, written as extended XYZ:
```
16
Lattice="5.3805 -3.3424 0.0000 5.3805 3.3424 0.0000 -3.2274 0.0000 5.4063" Properties=species:S:1:pos:R:3 pbc="T T T"
Co 2.9937 2.1887 0.9331
Co -0.4780 0.0000 2.1782
Co 1.4206 1.0561 3.5742
Co 1.8702 -0.0556 1.3186
Co 4.5399 2.1887 4.4732
Co 4.2282 -0.0621 0.4983
Co 6.1130 1.0561 1.8321
Co 3.3054 -0.0621 4.9080
Co 5.6634 -0.0556 4.0877
Co 8.0116 0.0000 3.2280
Ge 5.3805 2.3629 0.0000
Ge 3.7668 0.8294 2.7031
Ge 1.5230 -1.2781 3.8058
Ge 3.0978 -2.1562 1.0820
Ge 6.0106 -1.2781 1.6004
Ge 4.4358 -2.1562 4.3243
```

# 4
Crystalline Co9Ge at its relaxed geometry. Source: the Open Quantum Materials Database, functional PBE-GGA.

Volume (Å³ per cell): 337.7
Calculated total energy (eV/atom): -6.8060

Cell and atoms, written as extended XYZ:
```
20
Lattice="2.5056 0.0000 0.0000 0.0000 3.5150 0.0000 0.0000 0.0000 38.3428" Properties=species:S:1:pos:R:3 pbc="T T T"
Co 0.6264 0.8788 0.6176
Co 0.6264 0.8788 3.0877
Co 0.6264 0.8788 5.5600
Co 0.6264 0.8788 8.0449
Co 0.6264 0.8788 10.5001
Co 0.6264 0.8788 29.1065
Co 0.6264 0.8788 31.5492
Co 0.6264 0.8788 34.0242
Co 0.6264 0.8788 36.4928
Co 1.8792 2.6363 1.8500
Co 1.8792 2.6363 4.3185
Co 1.8792 2.6363 6.7936
Co 1.8792 2.6363 9.2362
Co 1.8792 2.6363 27.8427
Co 1.8792 2.6363 30.2979
Co 1.8792 2.6363 32.7828
Co 1.8792 2.6363 35.2551
Co 1.8792 2.6363 37.7252
Ge 0.6264 0.8788 26.5722
Ge 1.8792 2.6363 11.7706
```